# NaSr6Ca3 (PBE-GGA, optimized geometry)
data_NaSr6Ca3
_chemical_formula_sum 'Na2 Sr12 Ca6'
_cell_length_a 11.689
_cell_length_b 14.383
_cell_length_c 6.084
_cell_angle_alpha 90.00
_cell_angle_beta 90.00
_cell_angle_gamma 90.00
_space_group_name_H-M_alt 'P n n m'
_space_group_IT_number 58
loop_
_space_group_symop_operation_xyz
'x,y,z'
'-x,-y,-z'
'-x,-y,z'
'x,y,-z'
'x+1/2,-y+1/2,-z+1/2'
'-x+1/2,y+1/2,z+1/2'
'-x+1/2,y+1/2,-z+1/2'
'x+1/2,-y+1/2,z+1/2'
loop_
_atom_site_label
_atom_site_type_symbol
_atom_site_fract_x
_atom_site_fract_y
_atom_site_fract_z
Na1 Na 0.000 0.000 0.000
Sr1 Sr 0.033 0.240 0.000
Sr2 Sr 0.169 0.072 0.500
Sr3 Sr 0.206 0.379 0.500
Ca1 Ca 0.000 0.500 0.000
Ca2 Ca 0.140 0.670 0.500
# ΔH_f (0 K) in eV per atom: 0.11
# Uncorrected energy in eV/atom: -1.63